Record 1
{"formula": "SrCrRu2", "functional": "PBE-GGA", "state": "relaxed", "dft_energy_ev_per_atom": -6.627, "ef_ev_per_atom": 0.837, "e_above_lowest_polymorph_mev_per_atom": 477, "sg": "No. 141", "lattice_angstrom": [[4.994, 0.000, 0.000], [0.000, 4.994, 0.000], [2.497, 2.497, 7.703]], "species": ["Cr", "Cr", "Ru", "Ru", "Ru", "Ru", "Sr", "Sr"], "fractional_positions": [[0.250, 0.750, 0.500], [0.500, 0.500, 0.000], [0.375, 0.125, 0.250], [0.375, 0.625, 0.250], [0.875, 0.625, 0.750], [0.375, 0.625, 0.750], [0.750, 0.250, 0.500], [0.000, 0.000, 0.000]]}



Record 2
{"formula": "SrCr2Ru", "functional": "PBE-GGA", "state": "relaxed", "dft_energy_ev_per_atom": -6.246, "ef_ev_per_atom": 1.305, "e_above_lowest_polymorph_mev_per_atom": 763, "sg": "No. 65", "lattice_angstrom": [[-3.440, 3.384, -2.398], [-1.793, -4.300, 2.708], [-0.122, 1.450, 2.222]], "species": ["Cr", "Cr", "Ru", "Sr"], "fractional_positions": [[0.500, 0.500, 0.000], [0.000, 0.000, 0.000], [0.500, 0.000, 0.500], [0.000, 0.500, 0.500]]}



Record 3
{"formula": "SrCrRu2", "functional": "PBE-GGA", "state": "relaxed", "dft_energy_ev_per_atom": -6.848, "ef_ev_per_atom": 0.616, "e_above_lowest_polymorph_mev_per_atom": 255, "sg": "No. 25", "lattice_angstrom": [[2.908, 0.000, 0.000], [0.000, 3.638, 0.000], [0.000, 0.000, 7.153]], "species": ["Sr", "Ru", "Ru", "Cr"], "fractional_positions": [[0.000, 0.000, 0.492], [0.000, 0.000, 0.979], [0.500, 0.500, 0.180], [0.500, 0.500, 0.849]]}



Record 4
{"formula": "SrCr2Ru", "functional": "PBE-GGA", "state": "relaxed", "dft_energy_ev_per_atom": -6.740, "ef_ev_per_atom": 0.811, "e_above_lowest_polymorph_mev_per_atom": 269, "sg": "No. 44", "lattice_angstrom": [[5.603, 0.079, -0.080], [2.374, 5.076, 0.080], [-3.207, -3.787, 2.604]], "species": ["Cr", "Cr", "Ru", "Sr"], "fractional_positions": [[0.031, 0.031, 0.000], [0.261, 0.761, 0.500], [0.468, 0.468, 0.000], [0.741, 0.241, 0.500]]}



Record 5
{"formula": "Sr3CrRu", "functional": "PBE-GGA", "state": "relaxed", "dft_energy_ev_per_atom": -3.574, "ef_ev_per_atom": 1.215, "e_above_lowest_polymorph_mev_per_atom": 0, "sg": "No. 221", "lattice_angstrom": [[-3.051, -1.364, -4.553], [4.707, -0.114, -3.119], [0.661, -5.479, 1.199]], "species": ["Ru", "Sr", "Sr", "Sr", "Cr"], "fractional_positions": [[0.000, 0.000, 0.000], [0.500, 0.000, 0.000], [0.000, 0.000, 0.500], [0.000, 0.500, 0.000], [0.500, 0.500, 0.500]]}



Record 6
{"formula": "SrCrRu2", "functional": "PBE-GGA", "state": "relaxed", "dft_energy_ev_per_atom": -7.060, "ef_ev_per_atom": 0.404, "e_above_lowest_polymorph_mev_per_atom": 43, "sg": "No. 160", "lattice_angstrom": [[4.302, 0.010, -0.010], [2.141, 3.731, -0.010], [2.159, 1.254, 5.563]], "species": ["Ru", "Ru", "Cr", "Sr"], "fractional_positions": [[0.310, 0.310, 0.071], [0.999, 0.999, 0.004], [0.691, 0.691, 0.926], [0.500, 0.500, 0.499]]}



Record 7
{"formula": "SrCrRu2", "functional": "PBE-GGA", "state": "relaxed", "dft_energy_ev_per_atom": -6.547, "ef_ev_per_atom": 0.917, "e_above_lowest_polymorph_mev_per_atom": 557, "sg": "No. 12", "lattice_angstrom": [[-0.046, -5.308, -1.049], [4.754, 2.569, -0.247], [1.260, -0.885, 2.437]], "species": ["Sr", "Cr", "Ru", "Ru"], "fractional_positions": [[0.000, 0.500, 0.500], [0.500, 0.500, 0.000], [0.500, 0.000, 0.500], [0.000, 0.000, 0.000]]}



Record 8
{"formula": "SrCr2Ru", "functional": "PBE-GGA", "state": "relaxed", "dft_energy_ev_per_atom": -6.452, "ef_ev_per_atom": 1.099, "e_above_lowest_polymorph_mev_per_atom": 557, "sg": "No. 123", "lattice_angstrom": [[-1.736, -3.805, -2.441], [4.448, -0.972, -1.648], [0.528, -1.857, 2.520]], "species": ["Cr", "Cr", "Ru", "Sr"], "fractional_positions": [[0.500, 0.500, 0.000], [0.000, 0.000, 0.000], [0.500, 0.000, 0.500], [0.000, 0.500, 0.500]]}



Record 9
{"formula": "SrCrRu2", "functional": "PBE-GGA", "state": "relaxed", "dft_energy_ev_per_atom": -6.737, "ef_ev_per_atom": 0.728, "e_above_lowest_polymorph_mev_per_atom": 367, "sg": "No. 44", "lattice_angstrom": [[-1.312, -1.646, 5.380], [-5.043, -2.611, 1.067], [5.132, 0.074, -2.653]], "species": ["Cr", "Ru", "Ru", "Sr"], "fractional_positions": [[0.216, 0.716, 0.500], [0.784, 0.284, 0.500], [0.997, 0.997, 0.000], [0.503, 0.503, 0.000]]}



Record 10
{"formula": "SrCr2Ru", "functional": "PBE-GGA", "state": "relaxed", "dft_energy_ev_per_atom": -6.712, "ef_ev_per_atom": 0.839, "e_above_lowest_polymorph_mev_per_atom": 297, "sg": "No. 216", "lattice_angstrom": [[-2.817, 3.694, 0.816], [-3.789, -2.747, -0.586], [3.315, -1.184, 3.140]], "species": ["Cr", "Cr", "Ru", "Sr"], "fractional_positions": [[0.250, 0.750, 0.500], [0.000, 0.000, 0.000], [0.500, 0.500, 0.000], [0.750, 0.250, 0.500]]}



Record 11
{"formula": "SrCrRu2", "functional": "PBE-GGA", "state": "relaxed", "dft_energy_ev_per_atom": -6.579, "ef_ev_per_atom": 0.885, "e_above_lowest_polymorph_mev_per_atom": 525, "sg": "No. 123", "lattice_angstrom": [[3.191, 0.000, 0.000], [0.000, 4.708, 0.000], [0.000, 0.000, 4.708]], "species": ["Ru", "Ru", "Sr", "Cr"], "fractional_positions": [[0.000, 0.000, 0.000], [0.000, 0.500, 0.500], [0.500, 0.500, 0.000], [0.500, 0.000, 0.500]]}



Record 12
{"formula": "SrCr2Ru", "functional": "PBE-GGA", "state": "relaxed", "dft_energy_ev_per_atom": -6.887, "ef_ev_per_atom": 0.664, "e_above_lowest_polymorph_mev_per_atom": 122, "sg": "No. 47", "lattice_angstrom": [[-2.950, -0.112, 0.716], [0.220, -3.637, 0.335], [1.606, 0.717, 6.732]], "species": ["Cr", "Cr", "Ru", "Sr"], "fractional_positions": [[0.000, 0.000, 0.393], [0.000, 0.000, 0.107], [0.500, 0.500, 0.250], [0.500, 0.500, 0.750]]}